## w
! PBE TlCrTeI2, optimized geometry; values from VASP
&SYSTEM
  ibrav = 0, nat = 5, ntyp = 4
/
ATOMIC_SPECIES
Tl 204.38 Tl.upf
I 126.90 I.upf
Cr 52.00 Cr.upf
Te 127.60 Te.upf
CELL_PARAMETERS angstrom
-4.2919 0.9532 -4.1781
3.3941 -2.8542 -4.1376
-2.5153 -5.0626 1.4289
ATOMIC_POSITIONS crystal
Tl 0.0000 0.0000 0.0000
I 0.0000 0.5000 0.0000
I 0.5000 0.0000 0.0000
Cr 0.5000 0.5000 0.5000
Te 0.0000 0.0000 0.5000
! **Total magnetic moment**: 0.8798 μB per atom

***

## x
! PBE TlCrTeI2, optimized geometry; values from VASP
&SYSTEM
  ibrav = 0, nat = 5, ntyp = 4
/
ATOMIC_SPECIES
Te 127.60 Te.upf
I 126.90 I.upf
Tl 204.38 Tl.upf
Cr 52.00 Cr.upf
CELL_PARAMETERS angstrom
-2.5675 3.3861 -3.8832
-5.0969 -1.0356 2.4669
0.6871 4.1444 3.1596
ATOMIC_POSITIONS crystal
Te 0.0000 0.0000 0.5000
I 0.5000 0.0000 0.0000
I 0.0000 0.5000 0.0000
Tl 0.5000 0.5000 0.5000
Cr 0.0000 0.0000 0.0000
! **Total magnetic moment**: 0.6002 μB per atom

***

Quick one: most stable of them? x

***

## w
! PBE TlCrTe2I, optimized geometry; values from VASP
&SYSTEM
  ibrav = 0, nat = 5, ntyp = 4
/
ATOMIC_SPECIES
Te 127.60 Te.upf
Cr 52.00 Cr.upf
I 126.90 I.upf
Tl 204.38 Tl.upf
CELL_PARAMETERS angstrom
5.2752 0.0000 0.0000
0.0000 5.2752 0.0000
0.0000 0.0000 5.9170
ATOMIC_POSITIONS crystal
Te 0.5000 0.0000 0.0000
Te 0.0000 0.5000 0.0000
Cr 0.0000 0.0000 0.0000
I 0.0000 0.0000 0.5000
Tl 0.5000 0.5000 0.5000
! **Total magnetic moment**: 0.5133 μB per atom

***

## x
! PBE TlCrTe2I, optimized geometry; values from VASP
&SYSTEM
  ibrav = 0, nat = 5, ntyp = 4
/
ATOMIC_SPECIES
I 126.90 I.upf
Cr 52.00 Cr.upf
Tl 204.38 Tl.upf
Te 127.60 Te.upf
CELL_PARAMETERS angstrom
5.7674 0.0000 0.0000
0.0000 5.7674 0.0000
0.0000 0.0000 6.1314
ATOMIC_POSITIONS crystal
I 0.0000 0.0000 0.5000
Cr 0.5000 0.5000 0.5000
Tl 0.0000 0.0000 0.0000
Te 0.5000 0.0000 0.0000
Te 0.0000 0.5000 0.0000
! **Total magnetic moment**: 0.8225 μB per atom

***

Quick one: most stable of them? w

***

## w
! PBE VCrTe2I, optimized geometry; values from VASP
&SYSTEM
  ibrav = 0, nat = 5, ntyp = 4
/
ATOMIC_SPECIES
Te 127.60 Te.upf
Cr 52.00 Cr.upf
I 126.90 I.upf
V 50.94 V.upf
CELL_PARAMETERS angstrom
-2.2754 -3.0313 -3.4774
2.3078 -4.1053 2.0686
-4.6002 -0.7429 3.6577
ATOMIC_POSITIONS crystal
Te 0.5000 0.0000 0.0000
Te 0.0000 0.5000 0.0000
Cr 0.5000 0.5000 0.5000
I 0.0000 0.0000 0.5000
V 0.0000 0.0000 0.0000
! **Total magnetic moment**: 0.7013 μB per atom

***

## x
! PBE VCrTe2I, optimized geometry; values from VASP
&SYSTEM
  ibrav = 0, nat = 5, ntyp = 4
/
ATOMIC_SPECIES
Cr 52.00 Cr.upf
Te 127.60 Te.upf
I 126.90 I.upf
V 50.94 V.upf
CELL_PARAMETERS angstrom
-0.9064 -4.8903 1.7639
2.7732 -1.9693 -4.0348
4.4422 0.2363 2.9379
ATOMIC_POSITIONS crystal
Cr 0.0000 0.0000 0.0000
Te 0.5000 0.0000 0.0000
Te 0.0000 0.5000 0.0000
I 0.0000 0.0000 0.5000
V 0.5000 0.5000 0.5000
! **Total magnetic moment**: 0.6305 μB per atom

***

Quick one: most stable of them? w

***

## w
! PBE YCrTe2I, optimized geometry; values from VASP
&SYSTEM
  ibrav = 0, nat = 5, ntyp = 4
/
ATOMIC_SPECIES
Te 127.60 Te.upf
Cr 52.00 Cr.upf
I 126.90 I.upf
Y 88.91 Y.upf
CELL_PARAMETERS angstrom
-3.4196 1.7745 4.4540
-4.7234 -2.1855 -2.7557
0.8274 -5.2032 2.7083
ATOMIC_POSITIONS crystal
Te 0.5000 0.0000 0.0000
Te 0.0000 0.5000 0.0000
Cr 0.5000 0.5000 0.5000
I 0.0000 0.0000 0.5000
Y 0.0000 0.0000 0.0000
! **Total magnetic moment**: 0.9023 μB per atom

***

## x
! PBE YCrTe2I, optimized geometry; values from VASP
&SYSTEM
  ibrav = 0, nat = 5, ntyp = 4
/
ATOMIC_SPECIES
I 126.90 I.upf
Te 127.60 Te.upf
Y 88.91 Y.upf
Cr 52.00 Cr.upf
CELL_PARAMETERS angstrom
-4.8700 0.8860 0.1949
-0.9414 -4.3304 -3.8378
-0.4361 -3.2194 3.7396
ATOMIC_POSITIONS crystal
I 0.5000 0.5000 0.5000
Te 0.5000 0.0000 0.0000
Te 0.0000 0.0000 0.5000
Y 0.0000 0.5000 0.0000
Cr 0.0000 0.0000 0.0000
! **Total magnetic moment**: 0.0679 μB per atom

***

## y
! PBE YCrTe2I, optimized geometry; values from VASP
&SYSTEM
  ibrav = 0, nat = 5, ntyp = 4
/
ATOMIC_SPECIES
I 126.90 I.upf
Te 127.60 Te.upf
Cr 52.00 Cr.upf
Y 88.91 Y.upf
CELL_PARAMETERS angstrom
5.3826 0.0000 0.0000
0.0000 5.3826 0.0000
0.0000 0.0000 5.2738
ATOMIC_POSITIONS crystal
I 0.0000 0.0000 0.5000
Te 0.0000 0.5000 0.0000
Te 0.5000 0.0000 0.0000
Cr 0.0000 0.0000 0.0000
Y 0.5000 0.5000 0.5000
! **Total magnetic moment**: 0.7797 μB per atom

***

Quick one: most stable of them? y

***

## w
! PBE YCrTeI2, optimized geometry; values from VASP
&SYSTEM
  ibrav = 0, nat = 5, ntyp = 4
/
ATOMIC_SPECIES
I 126.90 I.upf
Y 88.91 Y.upf
Cr 52.00 Cr.upf
Te 127.60 Te.upf
CELL_PARAMETERS angstrom
-2.6009 -4.2612 -1.9637
4.6737 -2.5504 -0.6558
-0.4300 -2.1139 5.1565
ATOMIC_POSITIONS crystal
I 0.5000 0.0000 0.0000
I 0.0000 0.5000 0.0000
Y 0.5000 0.5000 0.5000
Cr 0.0000 0.0000 0.0000
Te 0.0000 0.0000 0.5000
! **Total magnetic moment**: 0.9577 μB per atom

***

## x
! PBE YCrTeI2, optimized geometry; values from VASP
&SYSTEM
  ibrav = 0, nat = 5, ntyp = 4
/
ATOMIC_SPECIES
Y 88.91 Y.upf
I 126.90 I.upf
Te 127.60 Te.upf
Cr 52.00 Cr.upf
CELL_PARAMETERS angstrom
-5.1001 -1.2321 -2.7916
0.7081 -5.7667 1.2515
-2.9903 0.7469 5.1335
ATOMIC_POSITIONS crystal
Y 0.0000 0.0000 0.0000
I 0.0000 0.5000 0.0000
I 0.5000 0.0000 0.0000
Te 0.0000 0.0000 0.5000
Cr 0.5000 0.5000 0.5000
! **Total magnetic moment**: 0.9997 μB per atom

***

Quick one: most stable of them? x

***

## w
! PBE ZnCrTeI2, optimized geometry; values from VASP
&SYSTEM
  ibrav = 0, nat = 5, ntyp = 4
/
ATOMIC_SPECIES
Cr 52.00 Cr.upf
I 126.90 I.upf
Zn 65.41 Zn.upf
Te 127.60 Te.upf
CELL_PARAMETERS angstrom
-0.0947 -3.0395 -4.6516
5.4288 0.9416 -0.7258
1.1569 -4.4478 2.8828
ATOMIC_POSITIONS crystal
Cr 0.5000 0.5000 0.5000
I 0.0000 0.5000 0.0000
I 0.5000 0.0000 0.0000
Zn 0.0000 0.0000 0.0000
Te 0.0000 0.0000 0.5000
! **Total magnetic moment**: 0.8273 μB per atom

***

## x
! PBE ZnCrTeI2, optimized geometry; values from VASP
&SYSTEM
  ibrav = 0, nat = 5, ntyp = 4
/
ATOMIC_SPECIES
Cr 52.00 Cr.upf
Zn 65.41 Zn.upf
Te 127.60 Te.upf
I 126.90 I.upf
CELL_PARAMETERS angstrom
5.6481 0.0000 0.0000
0.0000 5.6481 0.0000
0.0000 0.0000 5.2016
ATOMIC_POSITIONS crystal
Cr 0.0000 0.0000 0.0000
Zn 0.5000 0.5000 0.5000
Te 0.0000 0.0000 0.5000
I 0.0000 0.5000 0.0000
I 0.5000 0.0000 0.0000
! **Total magnetic moment**: 0.4287 μB per atom

***

Quick one: most stable of them? x

***

## w
! PBE ZrCrTe2I, optimized geometry; values from VASP
&SYSTEM
  ibrav = 0, nat = 5, ntyp = 4
/
ATOMIC_SPECIES
I 126.90 I.upf
Te 127.60 Te.upf
Cr 52.00 Cr.upf
Zr 91.22 Zr.upf
CELL_PARAMETERS angstrom
5.2846 0.0000 0.0000
0.0000 5.2846 0.0000
0.0000 0.0000 5.2588
ATOMIC_POSITIONS crystal
I 0.0000 0.0000 0.5000
Te 0.0000 0.5000 0.0000
Te 0.5000 0.0000 0.0000
Cr 0.0000 0.0000 0.0000
Zr 0.5000 0.5000 0.5000
! **Total magnetic moment**: 1.0090 μB per atom

***

## x
! PBE ZrCrTe2I, optimized geometry; values from VASP
&SYSTEM
  ibrav = 0, nat = 5, ntyp = 4
/
ATOMIC_SPECIES
Te 127.60 Te.upf
Cr 52.00 Cr.upf
Zr 91.22 Zr.upf
I 126.90 I.upf
CELL_PARAMETERS angstrom
5.6228 0.0000 0.0000
0.0000 5.6228 0.0000
0.0000 0.0000 5.7341
ATOMIC_POSITIONS crystal
Te 0.0000 0.5000 0.0000
Te 0.5000 0.0000 0.0000
Cr 0.5000 0.5000 0.5000
Zr 0.0000 0.0000 0.0000
I 0.0000 0.0000 0.5000
! **Total magnetic moment**: 0.9996 μB per atom

***

Quick one: most stable of them? x

***

## w
! PBE ZrCrTeI2, optimized geometry; values from VASP
&SYSTEM
  ibrav = 0, nat = 5, ntyp = 4
/
ATOMIC_SPECIES
Te 127.60 Te.upf
I 126.90 I.upf
Cr 52.00 Cr.upf
Zr 91.22 Zr.upf
CELL_PARAMETERS angstrom
5.3295 0.0000 0.0000
0.0000 5.3295 0.0000
0.0000 0.0000 5.4650
ATOMIC_POSITIONS crystal
Te 0.0000 0.0000 0.5000
I 0.5000 0.0000 0.0000
I 0.0000 0.5000 0.0000
Cr 0.0000 0.0000 0.0000
Zr 0.5000 0.5000 0.5000
! **Total magnetic moment**: 0.3889 μB per atom

***

## x
! PBE ZrCrTeI2, optimized geometry; values from VASP
&SYSTEM
  ibrav = 0, nat = 5, ntyp = 4
/
ATOMIC_SPECIES
I 126.90 I.upf
Cr 52.00 Cr.upf
Te 127.60 Te.upf
Zr 91.22 Zr.upf
CELL_PARAMETERS angstrom
5.7487 0.0000 0.0000
0.0000 5.7487 0.0000
0.0000 0.0000 5.6333
ATOMIC_POSITIONS crystal
I 0.5000 0.0000 0.0000
I 0.0000 0.5000 0.0000
Cr 0.5000 0.5000 0.5000
Te 0.0000 0.0000 0.5000
Zr 0.0000 0.0000 0.0000
! **Total magnetic moment**: 1.1340 μB per atom

***

Quick one: most stable of them? x